(1)
Here is K2TaMo after structural relaxation from Alexandria via LeMat-Bulk. Energies are from PBE-GGA.

Cell: 12.7195 12.7195 9.2932 Å, 46.82 46.82 90.00°
Last column: nearest neighbours and their distance in Å.
Element x y z (fractional)
Ta: 0.0000 0.0000 0.0000  2 Mo 2.34
Ta: 0.7500 0.2500 0.5000  2 Mo 2.34
K: 0.8750 0.7171 0.7500  2 Mo 3.44, 2 Ta 3.82
K: 0.2829 0.6250 0.2500  2 Mo 3.44, 2 Ta 3.82
K: 0.3750 0.5329 0.7500  2 Mo 3.44, 2 Ta 3.82
K: 0.4671 0.1250 0.2500  2 Mo 3.44, 2 Ta 3.82
Mo: 0.5000 0.5000 0.0000  2 Ta 2.34
Mo: 0.2500 0.7500 0.5000  2 Ta 2.34

The value obtained for the formation energy is 1741 meV/atom. The value obtained for the electronic total energy is -4.479 eV/atom. The offset from the most stable computed form is 966 meV/atom. For the volume, the calculation gives 378.4 Å³/cell. The calculation puts the total magnetic moment at 0.049 μB per atom.

(2)
Here is CoCuCl2 after structural relaxation from Alexandria via LeMat-Bulk. Energies are from PBE-GGA.

Cell: 6.9836 6.9836 3.5123 Å, 84.34 84.34 27.59°
Last column: nearest neighbours and their distance in Å.
Element x y z (fractional)
Co: 0.4371 0.4371 0.4592  5 Cl 2.48-2.57, 2 Cu 2.59
Cl: 0.2629 0.2629 0.2969  4 Cu 2.48-2.53, 1 Co 2.49
Cl: 0.9902 0.9902 0.9553  4 Co 2.48-2.57, 1 Cu 2.57
Cu: 0.8098 0.8098 0.7886  5 Cl 2.48-2.57, 2 Co 2.59

The value obtained for the electronic total energy is -3.728 eV/atom. The offset from the most stable computed form is 130 meV/atom. For the volume, the calculation gives 78.9 Å³/cell. As for the raw formation energy: -4 meV/atom. The calculation puts the total magnetic moment at 0.503 μB per atom.

(3)
Here is TbBi2Pt after structural relaxation from Alexandria via LeMat-Bulk. Energies are from PBE-GGA.

Cell: 3.7128 3.7128 10.2233 Å, 79.54 79.54 60.00°
Last column: nearest neighbours and their distance in Å.
Element x y z (fractional)
Bi: 0.8939 0.8939 0.3184  3 Pt 2.81
Bi: 0.1061 0.1061 0.6816  3 Pt 2.81
Pt: 0.5000 0.5000 0.5000  6 Bi 2.81
Tb: 0.0000 0.0000 0.0000  2 Bi 3.18

The value obtained for the formation energy is -52 meV/atom. The value obtained for the electronic total energy is -4.660 eV/atom. For the volume, the calculation gives 119.3 Å³/cell. The calculation puts the total magnetic moment at 0.000 μB per atom.